Entry 1:
Material: PuPaMo2
Method: DFT, PBE
State: optimized geometry

Properties
Excess energy over the best structure of this formula in the dataset   0 meV per atom
ΔE_f   269.9 meV/atom
Raw total energy   -11.10 eV/atom
D(E_F)   1.329 states/eV/atom

Cell: 4.8588 4.8588 4.8588 Å, 60.00 60.00 60.00°
Fractional coordinates of all 4 atoms:
Pu  0.0000  0.0000  0.0000
Pa  0.5000  0.5000  0.5000
Mo  0.2500  0.2500  0.2500
Mo  0.7500  0.7500  0.7500

***

Entry 2:
Material: PuPaMo
Method: DFT, PBE
State: optimized geometry

Properties
Excess energy over the best structure of this formula in the dataset   242 meV per atom
ΔE_f   293.8 meV/atom
Raw total energy   -11.26 eV/atom
D(E_F)   1.826 states/eV/atom

Cell: 10.7293 10.7203 3.3882 Å, 81.06 80.76 18.18°
Fractional coordinates of all 6 atoms:
Pu  0.2426  0.7574  0.2426
Pu  0.7574  0.2426  0.7574
Pa  0.3766  0.3766  0.6234
Pa  0.6234  0.6234  0.3766
Mo  0.2165  0.2165  0.7835
Mo  0.7835  0.7835  0.2165

***

Entry 3:
Material: PuPaMo2
Method: DFT, PBE
State: optimized geometry

Properties
Excess energy over the best structure of this formula in the dataset   30 meV per atom
ΔE_f   300.2 meV/atom
Raw total energy   -11.07 eV/atom
D(E_F)   1.903 states/eV/atom

Cell: 4.8393 4.8393 3.4611 Å, 90.00 90.00 90.00°
Fractional coordinates of all 4 atoms:
Pu  0.0000  0.0000  0.0000
Pa  0.5000  0.5000  0.0000
Mo  0.0000  0.5000  0.5000
Mo  0.5000  0.0000  0.5000

***

Entry 4:
Material: PuPaMoRu
Method: DFT, PBE
State: optimized geometry

Properties
ΔE_f   6.8 meV/atom
Raw total energy   -10.98 eV/atom
D(E_F)   1.891 states/eV/atom

Cell: 4.8373 4.8373 4.8373 Å, 60.00 60.00 60.00°
Fractional coordinates of all 4 atoms:
Pu  0.0000  0.0000  0.0000
Pa  0.5000  0.5000  0.5000
Mo  0.7500  0.7500  0.7500
Ru  0.2500  0.2500  0.2500

***

Repeat the fourth record exactly.
Material: PuPaMoRu
Method: DFT, PBE
State: optimized geometry

Properties
ΔE_f   6.8 meV/atom
Raw total energy   -10.98 eV/atom
D(E_F)   1.891 states/eV/atom

Cell: 4.8373 4.8373 4.8373 Å, 60.00 60.00 60.00°
Fractional coordinates of all 4 atoms:
Pu  0.0000  0.0000  0.0000
Pa  0.5000  0.5000  0.5000
Mo  0.7500  0.7500  0.7500
Ru  0.2500  0.2500  0.2500

***

Q: What is the ΔE_f in the first record?
A: 269.9 meV/atom

***

Q: raw total energy of number 2 (PuPaMo)?
A: -11.26 eV/atom

***

Q: What is the D(E_F) in the fourth record?
A: 1.891 states/eV/atom